# YTaP2

Crystalline YTaP2 at its relaxed geometry (GGA-PBE, Alexandria via LeMat-Bulk).

Cell lengths 8.432, 8.432, 8.432 Å; angles 22.35, 22.35, 22.35 degrees
Fractional coordinates of all 4 atoms:
P (0.986, 0.986, 0.986)
P (0.253, 0.253, 0.253)
Ta (0.516, 0.516, 0.516)
Y (0.745, 0.745, 0.745)

M_tot = 0.000 μB/f.u.
space-group type = R3m
N(E_F) = 1.902 states/eV/cell
DFT formation energy = 0.032 eV per atom
E above lowest polymorph = 1101 meV per atom

=====

# BaCdBr

Crystalline BaCdBr at its relaxed geometry (GGA-PBE, Alexandria via LeMat-Bulk).

Cell lengths 7.646, 7.648, 4.227 Å; angles 73.93, 73.98, 32.09 degrees
Fractional coordinates of all 3 atoms:
Ba (0.017, 0.017, 0.983)
Br (0.623, 0.623, 0.377)
Cd (0.360, 0.360, 0.640)

M_tot = 0.011 μB/f.u.
space-group type = Fmm2
N(E_F) = 1.900 states/eV/cell
ΔE_f (raw) = -898 meV per atom
E above lowest polymorph = 7 meV per atom